First-principles (GGA-PBE) data for crystalline MnSbPt at its relaxed geometry, as listed in Alexandria via LeMat-Bulk.

Values from the calculation:
Volume = 19.775 Å³ per atom
E_tot = -80.24 eV for the cell shown
D(E_F) = 4.33 states/eV/cell

Unit cell a=4.194 b=6.341 c=8.923 alpha=90.00 beta=90.00 gamma=90.00
Each line ends with the local moment (μB).
Atoms (fractional coordinates):
Pt: 0.750 0.024 0.377  0.11
Pt: 0.250 0.976 0.623  0.11
Pt: 0.250 0.524 0.123  0.11
Pt: 0.750 0.476 0.877  0.11
Mn: 0.750 0.237 0.123  3.83
Mn: 0.250 0.763 0.877  3.83
Mn: 0.250 0.737 0.377  3.83
Mn: 0.750 0.263 0.623  3.83
Sb: 0.750 0.794 0.119  -0.05
Sb: 0.250 0.294 0.381  -0.05
Sb: 0.250 0.206 0.881  -0.05
Sb: 0.750 0.706 0.619  -0.05